Entry 1:
Below is a relaxed structure of Er5TlIr2, with properties calculated at the PBE level.

V = 402 Å³/cell
Space group = I4/mcm
Raw total energy = -0.4441 Ry per atom
Total magnetic moment = 0.00 μB per cell

Cell: 7.7335 7.7335 8.6674 Å, 116.50 116.50 90.00°
Fractional coordinates of all 16 atoms:
1 Er 0.5262 0.7093 0.7355
2 Er 0.7907 0.9738 0.2645
3 Er 0.0000 0.0000 0.0000
4 Er 0.5000 0.5000 0.0000
5 Er 0.2093 0.0262 0.7355
6 Er 0.7093 0.2093 0.7355
7 Er 0.0262 0.5262 0.7355
8 Er 0.2907 0.7907 0.2645
9 Er 0.9738 0.4738 0.2645
10 Er 0.4738 0.2907 0.2645
11 Tl 0.7500 0.7500 0.5000
12 Tl 0.2500 0.2500 0.5000
13 Ir 0.1407 0.3593 0.0000
14 Ir 0.6407 0.1407 0.0000
15 Ir 0.3593 0.8593 0.0000
16 Ir 0.8593 0.6407 0.0000

=====

Entry 2:
Below is a relaxed structure of LiCa2Pb9, with properties calculated at the PBE level.

V = 356 Å³/cell
Space group = P4/mmm
Raw total energy = -0.2587 Ry per atom
Total magnetic moment = 0.00 μB per cell

Cell: 4.9309 4.9309 14.6613 Å, 90.00 90.00 90.00°
Fractional coordinates of all 12 atoms:
1 Li 0.0000 0.0000 0.0000
2 Ca 0.0000 0.0000 0.3346
3 Ca 0.0000 0.0000 0.6654
4 Pb 0.5000 0.5000 0.0000
5 Pb 0.5000 0.5000 0.3292
6 Pb 0.5000 0.5000 0.6708
7 Pb 0.5000 0.0000 0.1595
8 Pb 0.5000 0.0000 0.5000
9 Pb 0.5000 0.0000 0.8405
10 Pb 0.0000 0.5000 0.1595
11 Pb 0.0000 0.5000 0.5000
12 Pb 0.0000 0.5000 0.8405

=====

no.,formation energy from the elements (eV per atom)
1,-0.679
2,-0.246